[1]
{
  "formula": "TmNi4Te3",
  "functional": "PBE",
  "state": "relaxed",
  "cell": [[5.199, 0.000, 0.000], [0.000, 3.997, 0.000], [-0.442, 0.000, 6.799]],
  "species": ["Tm", "Ni", "Ni", "Ni", "Ni", "Te", "Te", "Te"],
  "frac_coords": [[0.000, 0.000, 0.000], [0.004, 0.500, 0.692], [0.281, 0.000, 0.637], [0.499, 0.000, 0.160], [0.779, 0.500, 0.275], [0.259, 0.500, 0.346], [0.507, 0.500, 0.906], [0.763, 0.000, 0.530]],
  "magmom_total_mub_per_cell": 0.004,
  "e_tot_ev_per_cell": -38.6,
  "vol_a3_per_atom": 17.7
}


[2]
{
  "formula": "ErZn2O4",
  "functional": "PBE",
  "state": "relaxed",
  "cell": [[0.000, 4.409, 4.409], [4.409, 0.000, 4.409], [4.409, 4.409, 0.000]],
  "species": ["Er", "Er", "Zn", "Zn", "Zn", "Zn", "O", "O", "O", "O", "O", "O", "O", "O"],
  "frac_coords": [[0.125, 0.125, 0.125], [0.875, 0.875, 0.875], [0.000, 0.500, 0.500], [0.500, 0.000, 0.500], [0.500, 0.500, 0.000], [0.500, 0.500, 0.500], [0.263, 0.263, 0.263], [0.263, 0.263, 0.711], [0.263, 0.711, 0.263], [0.289, 0.737, 0.737], [0.711, 0.263, 0.263], [0.737, 0.289, 0.737], [0.737, 0.737, 0.289], [0.737, 0.737, 0.737]],
  "magmom_total_mub_per_cell": 2.004,
  "e_tot_ev_per_cell": -79.7,
  "vol_a3_per_atom": 12.2
}


[3]
{
  "formula": "Dy4Ga12Cu",
  "functional": "PBE",
  "state": "relaxed",
  "cell": [[-4.308, 4.308, 4.308], [4.308, -4.308, 4.308], [4.308, 4.308, -4.308]],
  "species": ["Dy", "Dy", "Dy", "Dy", "Ga", "Ga", "Ga", "Ga", "Ga", "Ga", "Ga", "Ga", "Ga", "Ga", "Ga", "Ga", "Cu"],
  "frac_coords": [[0.000, 0.000, 0.500], [0.000, 0.500, 0.000], [0.500, 0.000, 0.000], [0.500, 0.500, 0.500], [0.000, 0.293, 0.293], [0.000, 0.707, 0.707], [0.250, 0.500, 0.750], [0.250, 0.750, 0.500], [0.293, 0.000, 0.293], [0.293, 0.293, 0.000], [0.500, 0.250, 0.750], [0.500, 0.750, 0.250], [0.707, 0.000, 0.707], [0.707, 0.707, 0.000], [0.750, 0.250, 0.500], [0.750, 0.500, 0.250], [0.000, 0.000, 0.000]],
  "magmom_total_mub_per_cell": 0.001,
  "e_tot_ev_per_cell": -67.2,
  "vol_a3_per_atom": 18.8
}


[4]
{
  "formula": "KErMgS3",
  "functional": "PBE",
  "state": "relaxed",
  "cell": [[10.704, 0.000, 0.000], [0.000, 4.050, 0.000], [0.000, 0.000, 14.258]],
  "species": ["K", "K", "K", "K", "Er", "Er", "Er", "Er", "Mg", "Mg", "Mg", "Mg", "S", "S", "S", "S", "S", "S", "S", "S", "S", "S", "S", "S"],
  "frac_coords": [[0.227, 0.250, 0.008], [0.273, 0.750, 0.508], [0.727, 0.250, 0.492], [0.773, 0.750, 0.992], [0.016, 0.750, 0.257], [0.484, 0.250, 0.757], [0.516, 0.750, 0.243], [0.984, 0.250, 0.743], [0.234, 0.750, 0.785], [0.266, 0.250, 0.285], [0.734, 0.750, 0.715], [0.766, 0.250, 0.215], [0.039, 0.750, 0.867], [0.079, 0.250, 0.376], [0.236, 0.250, 0.688], [0.264, 0.750, 0.188], [0.421, 0.750, 0.876], [0.461, 0.250, 0.367], [0.539, 0.750, 0.633], [0.579, 0.250, 0.124], [0.736, 0.250, 0.812], [0.764, 0.750, 0.312], [0.921, 0.750, 0.624], [0.961, 0.250, 0.133]],
  "magmom_total_mub_per_cell": 0.010,
  "e_tot_ev_per_cell": -118.5,
  "vol_a3_per_atom": 25.8
}